No. 1
Below is crystalline VCdAgRh2 at its relaxed geometry, with properties calculated at the GGA-PBE level.

Values from the calculation:
* V: 114.88 Å³ per cell
* energy of formation from the pure elements: 1685 meV/atom
* calculated density: 6.90 g cm⁻³

The structure in POSCAR format:
```
VCdAgRh2
1.0
4.8738 0.0000 0.0000
0.0000 4.8364 0.0000
0.0000 0.0000 4.8738
V Rh Ag Cd
1 2 1 1
direct
0.5000 0.5000 0.5000
0.5000 0.0000 0.0000
0.0000 0.0000 0.5000
0.0000 0.5000 0.0000
0.0000 0.0000 0.0000
```

=====

No. 2
Below is crystalline CdAg2Ru at its relaxed geometry, with properties calculated at the GGA-PBE level.

Values from the calculation:
* V: 69.77 Å³ per cell
* energy of formation from the pure elements: 351 meV/atom
* calculated density: 10.22 g cm⁻³

The structure in POSCAR format:
```
CdAg2Ru
1.0
4.0573 0.0000 0.0000
0.0000 4.0573 0.0000
0.0000 0.0000 4.2381
Ag Cd Ru
2 1 1
direct
0.5000 0.5000 0.0000
0.0000 0.0000 0.0000
0.5000 0.0000 0.5000
0.0000 0.5000 0.5000
```

=====

No. 3
Below is crystalline Cd2AgRu at its relaxed geometry, with properties calculated at the GGA-PBE level.

Values from the calculation:
* V: 71.69 Å³ per cell
* energy of formation from the pure elements: 328 meV/atom
* calculated density: 10.05 g cm⁻³

The structure in POSCAR format:
```
Cd2AgRu
1.0
4.6630 0.0000 0.0000
2.3315 4.0382 0.0000
2.3315 1.3461 3.8073
Cd Ag Ru
2 1 1
direct
0.0000 0.0000 0.0000
0.7500 0.7500 0.7500
0.5000 0.5000 0.5000
0.2500 0.2500 0.2500
```

=====

No. 4
Below is crystalline CdAg2Ru at its relaxed geometry, with properties calculated at the GGA-PBE level.

Values from the calculation:
* V: 69.80 Å³ per cell
* energy of formation from the pure elements: 389 meV/atom
* calculated density: 10.21 g cm⁻³

The structure in POSCAR format:
```
CdAg2Ru
1.0
-3.8504 0.8267 2.9291
-3.9158 -1.1225 -2.7377
4.0149 -2.6834 0.8767
Ag Ru Cd
2 1 1
direct
0.2500 0.7500 0.5000
0.0000 0.0000 0.0000
0.7500 0.2500 0.5000
0.5000 0.5000 0.0000
```

=====

No. 5
Below is crystalline CdAg2Ru at its relaxed geometry, with properties calculated at the GGA-PBE level.

Values from the calculation:
* V: 69.17 Å³ per cell
* energy of formation from the pure elements: 348 meV/atom
* calculated density: 10.30 g cm⁻³

The structure in POSCAR format:
```
CdAg2Ru
1.0
5.0107 -0.0008 -0.0125
4.2326 2.6817 -0.0125
0.7531 0.2184 5.1444
Ru Cd Ag
1 1 2
direct
0.2509 0.2509 0.2556
0.5032 0.5032 0.4867
0.9967 0.9967 0.9990
0.7492 0.7492 0.7587
```

=====

No. 6
Below is crystalline CdAg2Ru at its relaxed geometry, with properties calculated at the GGA-PBE level.

Values from the calculation:
* V: 69.53 Å³ per cell
* energy of formation from the pure elements: 358 meV/atom
* calculated density: 10.25 g cm⁻³

The structure in POSCAR format:
```
CdAg2Ru
1.0
-1.5197 0.2618 -2.5596
-2.6541 -3.7933 1.1878
-3.2032 2.9306 2.2015
Ag Cd Ru
2 1 1
direct
0.0000 0.0000 0.0000
0.5000 0.5000 0.0000
0.5000 0.0000 0.5000
0.0000 0.5000 0.5000
```

=====

No. 7
Below is crystalline Cd2AgRu at its relaxed geometry, with properties calculated at the GGA-PBE level.

Values from the calculation:
* V: 73.92 Å³ per cell
* energy of formation from the pure elements: 304 meV/atom
* calculated density: 9.74 g cm⁻³

The structure in POSCAR format:
```
Cd2AgRu
1.0
-1.7627 -0.0995 -2.3377
2.0487 -1.4795 -1.4818
-3.3234 -7.4282 2.8221
Ru Cd Ag
1 2 1
direct
0.0000 0.0000 0.5055
0.5000 0.5000 0.2727
0.0000 0.0000 0.9867
0.5000 0.5000 0.7351
```

=====

No. 8
Below is crystalline Cd2AgRu at its relaxed geometry, with properties calculated at the GGA-PBE level.

Values from the calculation:
* V: 159.39 Å³ per cell
* energy of formation from the pure elements: 586 meV/atom
* calculated density: 9.04 g cm⁻³

The structure in POSCAR format:
```
Cd2AgRu
1.0
-3.4644 0.1170 2.1209
-0.1484 -4.0610 -0.0184
3.2263 -2.1932 9.2843
Cd Ru Ag
4 2 2
direct
0.1321 0.6250 0.2500
0.8750 0.8679 0.7500
0.6179 0.1250 0.2500
0.3750 0.3821 0.7500
0.5000 0.5000 0.0000
0.2500 0.7500 0.5000
0.7500 0.2500 0.5000
0.0000 0.0000 0.0000
```

=====

No. 9
Below is crystalline CdAg2Ru at its relaxed geometry, with properties calculated at the GGA-PBE level.

Values from the calculation:
* V: 69.97 Å³ per cell
* energy of formation from the pure elements: 326 meV/atom
* calculated density: 10.19 g cm⁻³

The structure in POSCAR format:
```
CdAg2Ru
1.0
-2.2043 -1.1617 -1.3413
2.3134 -1.6141 0.2250
-3.2848 -3.5291 8.4548
Cd Ag Ru
1 2 1
direct
0.0000 0.0000 0.5073
0.5000 0.5000 0.2466
0.0000 0.0000 0.9948
0.5000 0.5000 0.7513
```

=====

No. 10
Below is crystalline CdAg2Ru at its relaxed geometry, with properties calculated at the GGA-PBE level.

Values from the calculation:
* V: 69.85 Å³ per cell
* energy of formation from the pure elements: 407 meV/atom
* calculated density: 10.20 g cm⁻³

The structure in POSCAR format:
```
CdAg2Ru
1.0
4.6227 0.0000 0.0000
2.3113 4.0033 0.0000
2.3113 1.3344 3.7744
Cd Ag Ru
1 2 1
direct
0.5000 0.5000 0.5000
0.0000 0.0000 0.0000
0.2500 0.2500 0.2500
0.7500 0.7500 0.7500
```

=====

No. 11
Below is crystalline CdAg3Ru at its relaxed geometry, with properties calculated at the GGA-PBE level.

Values from the calculation:
* V: 131.26 Å³ per cell
* energy of formation from the pure elements: 1161 meV/atom
* calculated density: 6.79 g cm⁻³

The structure in POSCAR format:
```
CdAg3Ru
1.0
-3.5075 0.8856 3.5695
-3.6724 -1.1080 -3.3337
0.1973 -4.8801 1.4047
Ag Cd Ru
3 1 1
direct
0.5000 0.0000 0.0000
0.0000 0.5000 0.0000
0.0000 0.0000 0.5000
0.5000 0.5000 0.5000
0.0000 0.0000 0.0000
```

=====

No. 12
Below is crystalline CdAg2Ru at its relaxed geometry, with properties calculated at the GGA-PBE level.

Values from the calculation:
* V: 69.77 Å³ per cell
* energy of formation from the pure elements: 350 meV/atom
* calculated density: 10.22 g cm⁻³

The structure in POSCAR format:
```
CdAg2Ru
1.0
5.1513 -0.0628 -0.2225
-2.4196 5.1577 0.0801
0.3122 0.7410 2.6239
Cd Ag Ru
1 2 1
direct
0.0000 0.5000 0.5000
0.0000 0.0000 0.0000
0.5000 0.0000 0.5000
0.5000 0.5000 0.0000
```

=====

No. 13
Below is crystalline CdAg2Ru at its relaxed geometry, with properties calculated at the GGA-PBE level.

Values from the calculation:
* V: 69.08 Å³ per cell
* energy of formation from the pure elements: 281 meV/atom
* calculated density: 10.32 g cm⁻³

The structure in POSCAR format:
```
CdAg2Ru
1.0
-4.1330 -8.1334 -3.3644
-1.6381 -8.2932 -4.8053
-1.8173 -9.3158 -2.1131
Ag Cd Ru
2 1 1
direct
0.2515 0.2515 0.2515
0.0020 0.0020 0.0020
0.4974 0.4974 0.4974
0.7492 0.7492 0.7492
```

=====

No. 14
Below is crystalline CdAg2Ru at its relaxed geometry, with properties calculated at the GGA-PBE level.

Values from the calculation:
* V: 70.07 Å³ per cell
* energy of formation from the pure elements: 294 meV/atom
* calculated density: 10.17 g cm⁻³

The structure in POSCAR format:
```
CdAg2Ru
1.0
-1.2583 2.5789 -0.3990
-2.6067 -1.2629 0.0582
-0.3520 1.1074 8.2673
Ru Ag Cd
1 2 1
direct
0.5000 0.5000 0.7534
0.0000 0.0000 0.9916
0.5000 0.5000 0.2445
0.0000 0.0000 0.5105
```

=====

No. 15
Below is crystalline Cd2AgRu at its relaxed geometry, with properties calculated at the GGA-PBE level.

Values from the calculation:
* V: 72.76 Å³ per cell
* energy of formation from the pure elements: 295 meV/atom
* calculated density: 9.90 g cm⁻³

The structure in POSCAR format:
```
Cd2AgRu
1.0
4.9304 0.0004 -0.0090
4.0532 2.8073 -0.0090
0.8660 0.2707 5.2560
Cd Ru Ag
2 1 1
direct
0.4969 0.4969 0.5091
0.0031 0.0031 0.9909
0.7500 0.7500 0.7500
0.2500 0.2500 0.2500
```

=====

No. 16
Below is crystalline Cd2AgRu at its relaxed geometry, with properties calculated at the GGA-PBE level.

Values from the calculation:
* V: 73.42 Å³ per cell
* energy of formation from the pure elements: 275 meV/atom
* calculated density: 9.81 g cm⁻³

The structure in POSCAR format:
```
Cd2AgRu
1.0
-10.1614 0.4072 -0.6913
-9.5926 -0.3914 -3.4245
-9.8149 -2.4016 -1.3410
Cd Ag Ru
2 1 1
direct
0.2425 0.2425 0.2425
0.0039 0.0039 0.0039
0.7550 0.7550 0.7550
0.4986 0.4986 0.4986
```

=====

No. 17
Below is crystalline CdAg2Ru at its relaxed geometry, with properties calculated at the GGA-PBE level.

Values from the calculation:
* V: 69.81 Å³ per cell
* energy of formation from the pure elements: 390 meV/atom
* calculated density: 10.21 g cm⁻³

The structure in POSCAR format:
```
CdAg2Ru
1.0
5.6716 0.0058 0.0110
2.7912 4.9372 -0.0110
-3.5353 -3.6632 2.4998
Ag Cd Ru
2 1 1
direct
0.0023 0.0023 0.0000
0.7510 0.2510 0.5000
0.4971 0.4971 0.0000
0.2496 0.7496 0.5000
```

=====

No. 18
Below is crystalline CdAg2Ru at its relaxed geometry, with properties calculated at the GGA-PBE level.

Values from the calculation:
* V: 69.78 Å³ per cell
* energy of formation from the pure elements: 392 meV/atom
* calculated density: 10.21 g cm⁻³

The structure in POSCAR format:
```
CdAg2Ru
1.0
-1.4704 -3.8868 -2.8174
3.8675 -1.4996 -2.8285
-0.3694 0.8489 4.9346
Ru Cd Ag
1 1 2
direct
0.7500 0.2500 0.5000
0.2500 0.7500 0.5000
0.5000 0.5000 0.0000
0.0000 0.0000 0.0000
```

=====

No. 19
Below is crystalline Cd2AgRu at its relaxed geometry, with properties calculated at the GGA-PBE level.

Values from the calculation:
* V: 72.44 Å³ per cell
* energy of formation from the pure elements: 235 meV/atom
* calculated density: 9.94 g cm⁻³

The structure in POSCAR format:
```
Cd2AgRu
1.0
5.5361 0.0014 0.0220
4.7538 2.8372 0.0220
1.9172 0.5289 4.6222
Ag Cd Ru
1 2 1
direct
0.2422 0.2422 0.1768
0.9961 0.9961 0.0782
0.7587 0.7587 0.6630
0.5030 0.5030 0.5820
```

=====

No. 20
Below is crystalline CdAg2Ru at its relaxed geometry, with properties calculated at the GGA-PBE level.

Values from the calculation:
* V: 69.34 Å³ per cell
* energy of formation from the pure elements: 335 meV/atom
* calculated density: 10.28 g cm⁻³

The structure in POSCAR format:
```
CdAg2Ru
1.0
4.2344 0.0000 0.0000
0.0000 2.7744 0.0267
0.0000 2.7167 5.9289
Ag Ru Cd
2 1 1
direct
0.5000 0.2561 0.2442
0.0000 0.0051 0.9954
0.5000 0.7504 0.7494
0.0000 0.4885 0.5110
```